1.
# PrSc3Ni8

A relaxed structure of PrSc3Ni8 (PBE, Alexandria via LeMat-Bulk).

abc: 4.971 4.971 8.155
angles: 90.00 90.00 120.00
Fractional positions:
Pr1 0.000 0.000 0.000
Sc1 0.000 0.000 0.381
Sc2 0.667 0.333 0.489
Sc3 0.667 0.333 0.851
Ni1 0.167 0.334 0.675
Ni2 0.167 0.833 0.675
Ni3 0.333 0.667 0.431
Ni4 0.333 0.667 0.929
Ni5 0.501 0.003 0.191
Ni6 0.501 0.499 0.191
Ni7 0.666 0.833 0.675
Ni8 0.997 0.499 0.191

## Properties
The value obtained for the formation energy is -41 kJ per mole of atoms. The calculation puts the calculated volume at 174.5 Å³/cell. Its symmetry is P3m1 (156).

=====

2.
# SiWCl

A relaxed structure of SiWCl (PBE, Alexandria via LeMat-Bulk).

abc: 6.665 6.665 6.665
angles: 153.51 153.51 37.81
Fractional positions:
Si1 0.000 0.000 0.000
W1 0.607 0.607 0.000
Cl1 0.240 0.240 0.000

## Properties
The calculation puts the calculated volume at 58.8 Å³/cell. The formation energy without anion corrections is 494 meV/atom. The energy relative to the lowest polymorph listed for this composition comes out at 0.223 eV/atom. Its symmetry is I4mm (107).